# LiMgInMo3O12 (PBE with a Hubbard U, relaxed)
data_LiMgInMo3O12
_chemical_formula_sum 'Li2 Mg2 In2 Mo6 O24'
_cell_length_a 7.0946
_cell_length_b 8.5963
_cell_length_c 9.9293
_cell_angle_alpha 96.33
_cell_angle_beta 106.39
_cell_angle_gamma 101.75
_space_group_name_H-M_alt 'P -1'
_space_group_IT_number 2
_space_group_name_Hall '-P 1'
loop_
_atom_site_label
_atom_site_type_symbol
_atom_site_fract_x
_atom_site_fract_y
_atom_site_fract_z
Li1 Li 0.0397 0.1080 0.3007
Mg1 Mg 0.4618 0.3048 0.5074
In1 In 0.2467 0.6980 0.9052
Mo1 Mo 0.0187 0.2999 0.6200
Mo2 Mo 0.3023 0.3975 0.1664
Mo3 Mo 0.4937 0.0069 0.2484
O1 O 0.0046 0.1255 0.6984
O2 O 0.0572 0.2673 0.1471
O3 O 0.1508 0.2792 0.4889
O4 O 0.1523 0.4774 0.7585
O5 O 0.2350 0.6895 0.4659
O6 O 0.2525 0.5631 0.0819
O7 O 0.2677 0.8757 0.7632
O8 O 0.3361 0.9034 0.0746
O9 O 0.3623 0.1400 0.3181
O10 O 0.4399 0.2959 0.0743
O11 O 0.4440 0.4753 0.3520
O12 O 0.4554 0.1352 0.6399
# VASP energy in eV/atom: -6.6508